# TaNiPb (PBE, optimized geometry)
# E, eV per atom: -6.725
data_TaNiPb
_chemical_formula_sum 'Ta4 Ni4 Pb4'
_symmetry_space_group_name_H-M 'P n m a'
_symmetry_Int_Tables_number 62
_cell_length_a 5.860
_cell_length_b 4.473
_cell_length_c 7.905
_cell_angle_alpha 90.00
_cell_angle_beta 90.00
_cell_angle_gamma 90.00
loop_
_symmetry_equiv_pos_as_xyz
'x,y,z'
'-x,-y,-z'
'-x+1/2,-y,z+1/2'
'x+1/2,y,-z+1/2'
'x+1/2,-y+1/2,-z+1/2'
'-x+1/2,y+1/2,z+1/2'
'-x,y+1/2,-z'
'x,-y+1/2,z'
loop_
_atom_site_label
_atom_site_type_symbol
_atom_site_fract_x
_atom_site_fract_y
_atom_site_fract_z
Ta1 Ta 0.002 0.250 0.247
Ni1 Ni 0.245 0.250 0.913
Pb1 Pb 0.243 0.250 0.581